Compound: PrPd12Pb6
Source: the Alexandria database
Functional: GGA-PBE
Structure: optimized geometry

Calculated values
total energy = -4.9071 eV/atom
symmetry = R-3m (166)
energy relative to the elements = -205 meV per atom

Lattice parameters (Å, degrees): 7.6928 7.6928 7.6928 104.76 104.76 104.76
Last column: nearest neighbours and their distance in Å.
Element x y z (fractional)
Pr1 0.0000 0.0000 0.0000  6 Pd 3.03
Pd1 0.8864 0.1136 0.5000  4 Pb 2.74-2.78, 3 Pd 2.77-2.84
Pd2 0.8897 0.6501 0.6501  4 Pd 2.84-2.92, 4 Pb 2.88-3.18, 1 Pr 3.03
Pd3 0.6501 0.6501 0.8897  4 Pd 2.84-2.92, 4 Pb 2.88-3.18, 1 Pr 3.03
Pd4 0.3499 0.1103 0.3499  4 Pd 2.84-2.92, 4 Pb 2.88-3.18, 1 Pr 3.03
Pd5 0.3499 0.3499 0.1103  4 Pd 2.84-2.92, 4 Pb 2.88-3.18, 1 Pr 3.03
Pd6 0.1103 0.3499 0.3499  4 Pd 2.84-2.92, 4 Pb 2.88-3.18, 1 Pr 3.03
Pd7 0.1136 0.5000 0.8864  4 Pb 2.74-2.78, 3 Pd 2.77-2.84
Pd8 0.5000 0.8864 0.1136  4 Pb 2.74-2.78, 3 Pd 2.77-2.84
Pd9 0.1136 0.8864 0.5000  4 Pb 2.74-2.78, 3 Pd 2.77-2.84
Pd10 0.8864 0.5000 0.1136  4 Pb 2.74-2.78, 3 Pd 2.77-2.84
Pd11 0.5000 0.1136 0.8864  4 Pb 2.74-2.78, 3 Pd 2.77-2.84
Pd12 0.6501 0.8897 0.6501  4 Pd 2.84-2.92, 4 Pb 2.88-3.18, 1 Pr 3.03
Pb1 0.6930 0.2781 0.2781  7 Pd 2.74-2.99
Pb2 0.2781 0.2781 0.6930  7 Pd 2.74-2.99
Pb3 0.2781 0.6930 0.2781  7 Pd 2.74-2.99
Pb4 0.7219 0.7219 0.3070  7 Pd 2.74-2.99
Pb5 0.3070 0.7219 0.7219  7 Pd 2.74-2.99
Pb6 0.7219 0.3070 0.7219  7 Pd 2.74-2.99


Compound: Pr3Pd4Pb2
Source: the Alexandria database
Functional: GGA-PBE
Structure: optimized geometry

Calculated values
total energy = -5.3756 eV/atom
symmetry = C2/m (12)
energy relative to the elements = -650 meV per atom

Lattice parameters (Å, degrees): 4.5115 5.5502 9.6367 90.60 90.00 113.98
Last column: nearest neighbours and their distance in Å.
Element x y z (fractional)
Pr1 0.3669 0.7337 0.6197  6 Pd 2.96-3.27
Pr2 0.0000 0.0000 0.0000  6 Pd 3.08-3.18
Pr3 0.6331 0.2663 0.3803  6 Pd 2.96-3.27
Pd1 0.7073 0.4145 0.0819  2 Pd 2.89, 3 Pb 2.90-2.92, 4 Pr 2.98-3.18
Pd2 0.0750 0.1500 0.6169  1 Pd 2.70, 2 Pb 2.90, 1 Pr 2.96
Pd3 0.9250 0.8500 0.3831  1 Pd 2.70, 2 Pb 2.90, 1 Pr 2.96
Pd4 0.2927 0.5855 0.9181  2 Pd 2.89, 3 Pb 2.90-2.92, 4 Pr 2.98-3.18
Pb1 0.3388 0.6776 0.2162  5 Pd 2.90-2.92
Pb2 0.6612 0.3224 0.7838  5 Pd 2.90-2.92


Compound: Pr2Pd3Pb2
Source: the Alexandria database
Functional: GGA-PBE
Structure: optimized geometry

Calculated values
total energy = -5.2147 eV/atom
symmetry = I2_13 (199)
energy relative to the elements = -564 meV per atom

Lattice parameters (Å, degrees): 7.7202 7.7202 7.7202 109.47 109.47 109.47
Last column: nearest neighbours and their distance in Å.
Element x y z (fractional)
Pr1 0.0000 0.0000 0.4882  6 Pd 2.97-3.27, 1 Pb 3.17
Pr2 0.5000 0.4882 0.5000  6 Pd 2.97-3.27, 1 Pb 3.17
Pr3 0.5118 0.0118 0.0118  6 Pd 2.97-3.27, 1 Pb 3.17
Pr4 0.9882 0.5000 0.0000  6 Pd 2.97-3.27, 1 Pb 3.17
Pd1 0.7681 0.7500 0.0181  2 Pb 2.78, 2 Pr 2.97, 4 Pd 3.04
Pd2 0.7319 0.2500 0.4819  2 Pb 2.78, 2 Pr 2.97, 4 Pd 3.04
Pd3 0.9819 0.2319 0.2500  2 Pb 2.78, 2 Pr 2.97, 4 Pd 3.04
Pd4 0.5181 0.2681 0.7500  2 Pb 2.78, 2 Pr 2.97, 4 Pd 3.04
Pd5 0.2500 0.0181 0.2681  2 Pb 2.78, 2 Pr 2.97, 4 Pd 3.04
Pd6 0.7500 0.4819 0.2319  2 Pb 2.78, 2 Pr 2.97, 4 Pd 3.04
Pb1 0.0000 0.0000 0.8992  3 Pd 2.78
Pb2 0.5000 0.8992 0.5000  3 Pd 2.78
Pb3 0.1008 0.6008 0.6008  3 Pd 2.78
Pb4 0.3992 0.5000 0.0000  3 Pd 2.78